The following is a DFT calculation (PBE-GGA) of an optimized crystal structure of Tl5PbBr8.

## Properties
The size of the total moment comes out at 0.000 μB/atom. As for the formation energy without anion corrections: -17.78 kcal/mol of atoms.

```
Tl5PbBr8
1.0
8.020 0.000 -2.779
-3.991 6.926 -2.854
-0.038 0.000 8.488
Tl Br Pb
5 8 1
Direct
0.994 0.378 0.124 Tl
0.385 0.130 0.006 Tl
0.745 0.622 0.615 Tl
0.876 0.870 0.255 Tl
0.500 0.000 0.500 Tl
0.615 0.873 0.878 Br
0.005 0.127 0.742 Br
0.122 0.737 0.995 Br
0.787 0.257 0.394 Br
0.470 0.607 0.213 Br
0.258 0.263 0.385 Br
0.606 0.393 0.863 Br
0.137 0.743 0.530 Br
0.250 0.500 0.750 Pb
```


The following is a DFT calculation (PBE-GGA) of an optimized crystal structure of TlPbBr.

## Properties
As for the excess energy over the best structure of this formula in the dataset: 0.189 eV per atom. The size of the total moment comes out at 0.000 μB/atom. As for the formation energy without anion corrections: -5.25 kcal/mol of atoms.

```
TlPbBr
1.0
8.458 0.012 -0.008
7.320 3.477 -0.003
1.138 -1.323 3.202
Pb Br Tl
1 1 1
Direct
0.343 0.343 0.657 Pb
0.999 0.999 0.001 Br
0.658 0.658 0.342 Tl
```


The following is a DFT calculation (PBE-GGA) of an optimized crystal structure of TlPbBr.

## Properties
As for the excess energy over the best structure of this formula in the dataset: 0.075 eV per atom. The size of the total moment comes out at 0.000 μB/atom. As for the formation energy without anion corrections: -7.89 kcal/mol of atoms.

```
TlPbBr
1.0
-3.063 1.696 1.665
0.213 -4.777 4.046
3.308 4.685 6.536
Tl Pb Br
2 2 2
Direct
0.449 0.692 0.460 Tl
0.304 0.305 0.817 Tl
0.181 0.934 0.129 Pb
0.802 0.762 0.851 Pb
0.630 0.403 0.140 Br
0.933 0.115 0.562 Br
```


The following is a DFT calculation (PBE-GGA) of an optimized crystal structure of Tl3Pb5Br12.

## Properties
The size of the total moment comes out at 0.000 μB/atom. As for the formation energy without anion corrections: -17.78 kcal/mol of atoms.

```
Tl3Pb5Br12
1.0
-4.408 15.414 -3.070
-13.323 -9.030 2.724
9.623 -0.385 13.180
Br Pb Tl
48 20 12
Direct
0.674 0.462 0.583 Br
0.538 0.326 0.917 Br
0.787 0.326 0.908 Br
0.174 0.092 0.713 Br
0.908 0.826 0.787 Br
0.592 0.713 0.674 Br
0.713 0.592 0.174 Br
0.287 0.408 0.826 Br
0.417 0.038 0.326 Br
0.326 0.538 0.417 Br
0.174 0.083 0.962 Br
0.621 0.038 0.213 Br
0.408 0.121 0.583 Br
0.083 0.908 0.121 Br
0.583 0.962 0.674 Br
0.787 0.462 0.379 Br
0.592 0.879 0.417 Br
0.826 0.908 0.287 Br
0.583 0.621 0.408 Br
0.083 0.174 0.462 Br
0.379 0.962 0.787 Br
0.038 0.417 0.826 Br
0.462 0.787 0.879 Br
0.408 0.287 0.326 Br
0.826 0.917 0.038 Br
0.092 0.174 0.213 Br
0.908 0.083 0.621 Br
0.674 0.213 0.592 Br
0.287 0.879 0.962 Br
0.879 0.592 0.917 Br
0.462 0.674 0.083 Br
0.121 0.713 0.538 Br
0.121 0.408 0.083 Br
0.538 0.213 0.121 Br
0.917 0.092 0.879 Br
0.417 0.379 0.592 Br
0.379 0.417 0.092 Br
0.962 0.583 0.174 Br
0.213 0.674 0.092 Br
0.038 0.621 0.713 Br
0.713 0.121 0.038 Br
0.326 0.787 0.408 Br
0.621 0.583 0.908 Br
0.879 0.287 0.462 Br
0.962 0.379 0.287 Br
0.213 0.538 0.621 Br
0.917 0.826 0.538 Br
0.092 0.917 0.379 Br
0.875 0.625 0.750 Pb
0.500 0.500 0.500 Pb
0.875 0.250 0.625 Pb
0.750 0.125 0.875 Pb
0.500 0.500 0.000 Pb
0.125 0.750 0.375 Pb
0.000 0.500 0.500 Pb
0.625 0.875 0.250 Pb
0.250 0.875 0.125 Pb
0.000 0.500 0.000 Pb
0.750 0.625 0.375 Pb
0.000 0.000 0.000 Pb
0.625 0.750 0.875 Pb
0.375 0.250 0.125 Pb
0.375 0.125 0.750 Pb
0.125 0.375 0.250 Pb
0.250 0.375 0.625 Pb
0.500 0.000 0.500 Pb
0.500 0.000 0.000 Pb
0.000 0.000 0.500 Pb
0.625 0.375 0.750 Tl
0.750 0.875 0.625 Tl
0.875 0.125 0.250 Tl
0.250 0.625 0.875 Tl
0.375 0.750 0.625 Tl
0.875 0.750 0.125 Tl
0.125 0.250 0.875 Tl
0.750 0.375 0.125 Tl
0.625 0.250 0.375 Tl
0.125 0.875 0.750 Tl
0.250 0.125 0.375 Tl
0.375 0.625 0.250 Tl
```


The following is a DFT calculation (PBE-GGA) of an optimized crystal structure of TmTlPb2Br8.

## Properties
The size of the total moment comes out at 0.000 μB/atom. As for the formation energy without anion corrections: -27.67 kcal/mol of atoms.

```
TmTlPb2Br8
1.0
7.226 0.040 -0.004
0.083 6.851 -0.007
0.007 0.012 9.225
Br Tm Pb Tl
8 1 2 1
Direct
0.847 0.237 0.786 Br
0.154 0.764 0.786 Br
0.153 0.763 0.214 Br
0.846 0.236 0.214 Br
0.316 0.235 0.000 Br
0.368 0.269 0.500 Br
0.684 0.765 0.000 Br
0.632 0.731 0.500 Br
0.000 0.000 0.000 Tm
0.500 0.500 0.249 Pb
0.500 0.500 0.751 Pb
0.000 0.000 0.500 Tl
```


The following is a DFT calculation (PBE-GGA) of an optimized crystal structure of UTl2PbBr8.

## Properties
The size of the total moment comes out at 0.167 μB/atom. As for the formation energy without anion corrections: -24.27 kcal/mol of atoms.

```
UTl2PbBr8
1.0
7.652 -0.110 -0.009
-0.140 7.149 -0.006
-0.002 0.014 9.059
U Br Tl Pb
1 8 2 1
Direct
0.000 0.000 0.000 U
0.872 0.228 0.229 Br
0.311 0.200 0.999 Br
0.689 0.800 0.001 Br
0.128 0.772 0.771 Br
0.325 0.244 0.500 Br
0.126 0.771 0.229 Br
0.675 0.756 0.500 Br
0.874 0.229 0.771 Br
0.500 0.501 0.744 Tl
0.500 0.499 0.256 Tl
0.000 0.000 0.500 Pb
```


- Look up the formation energy without anion corrections of the second one.
  -5.25 kcal/mol of atoms


- Among the records above, which one has the highest size of the total moment?
  UTl2PbBr8